A geometry-optimized Ba3V2P6H6O24 structure, computed with PBE+U.

The structure in extended XYZ format:
```
82
Lattice="9.541 0.000 0.000 4.770 8.262 0.000 4.770 2.754 12.500" Properties=species:S:1:pos:R:3 pbc="T T T"
Ba 8.668 2.754 3.125
Ba 6.719 4.887 9.375
Ba 11.489 3.375 9.375
Ba 7.592 7.641 3.125
Ba 12.362 6.129 3.125
Ba 10.414 8.262 9.375
V 14.311 8.262 9.375
V 0.000 0.000 0.000
V 9.541 5.508 6.250
V 4.770 2.754 3.125
P 13.302 5.777 11.288
P 12.663 10.379 11.288
P 8.532 2.485 7.462
P 16.968 8.631 11.288
P 6.418 4.871 5.038
P 11.654 3.123 5.038
P 7.427 7.894 7.462
P 12.663 6.146 7.462
P 10.550 8.531 5.038
P 2.113 2.385 1.212
P 6.418 0.638 1.212
P 5.779 5.240 1.212
H 8.033 1.279 5.575
H 5.124 4.699 6.926
H 8.033 4.229 0.675
H 12.450 2.088 6.926
H 9.895 3.563 11.825
H 7.679 6.174 11.825
H 11.402 4.842 0.675
H 6.632 8.928 5.575
H 9.187 7.453 0.675
H 11.048 6.787 11.825
H 13.957 6.317 5.575
H 11.048 9.738 6.926
O 13.749 4.290 11.232
O 14.376 6.596 10.540
O 12.835 7.486 8.211
O 15.722 7.373 8.211
O 12.835 9.039 10.540
O 11.152 10.736 11.232
O 7.113 2.296 8.015
O 8.566 2.075 5.926
O 14.376 9.929 8.211
O 15.722 9.152 10.540
O 6.080 4.635 6.574
O 11.108 1.800 4.485
O 8.766 3.251 10.735
O 8.566 3.433 0.324
O 8.978 3.972 7.519
O 18.032 9.762 11.232
O 7.198 5.051 1.765
O 5.545 6.005 4.485
O 7.256 5.314 12.177
O 7.929 5.227 4.981
O 10.851 3.627 12.177
O 12.027 2.948 6.574
O 11.108 3.709 1.765
O 10.590 4.253 4.981
O 8.492 6.763 7.519
O 7.973 7.308 10.735
O 7.055 8.069 5.926
O 8.231 7.390 0.324
O 11.152 5.789 7.519
O 11.825 5.702 0.324
O 11.883 5.966 10.735
O 13.536 5.012 8.015
O 1.049 1.255 1.269
O 10.103 7.044 4.981
O 10.515 7.584 12.177
O 10.315 7.766 1.765
O 7.973 9.217 8.015
O 13.001 6.381 5.926
O 4.705 1.088 4.289
O 3.360 1.865 1.961
O 10.515 8.941 6.574
O 11.968 8.720 4.485
O 7.929 0.281 1.269
O 6.246 1.977 1.961
O 3.360 3.644 4.289
O 4.705 4.420 1.961
O 6.246 3.531 4.289
O 5.333 6.727 1.269
```

Properties
Space group: R-3c, No. 167
E: -6.871 eV/atom
Spin magnetization: 0.098 μB per atom
Density of states at the Fermi level: 14.0 states/eV/cell